DFT (PBE+U) results for a relaxed structure of Cr3Co2O8.

Summary:
- Electronic total energy: -6.9656 eV/atom
- Calculated density: 4677 kg/m³

Cell: 9.6651 5.8564 5.1087 Å, 90.00 99.31 90.00°
Space group C2/m (No. 12)
Symmetry-distinct sites (fractional):
Cr  0.0000  0.0000  0.0000 x2
Cr  0.0000  0.2512  0.5000 x4
Co  0.2082  0.5000  0.0910 x4
O  0.0963  0.0000  0.3472 x4
O  0.1095  0.5000  0.3566 x4
O  0.1274  0.2282  0.8656 x8